No. 1
AcNdB2O6 | GGA-PBE | relaxed

abc: 6.543 6.543 6.771
angles: 102.77 102.77 99.18
Sites, in units of the cell vectors:
Ac  0.153  0.847  0.750
Ac  0.847  0.153  0.250
Nd  0.404  0.596  0.250
Nd  0.596  0.404  0.750
B  0.129  0.358  0.720
B  0.358  0.129  0.220
B  0.642  0.871  0.780
B  0.871  0.642  0.280
O  0.075  0.611  0.348
O  0.184  0.196  0.116
O  0.196  0.184  0.616
O  0.282  0.518  0.877
O  0.389  0.925  0.152
O  0.482  0.718  0.623
O  0.518  0.282  0.377
O  0.611  0.075  0.848
O  0.718  0.482  0.123
O  0.804  0.816  0.384
O  0.816  0.804  0.884
O  0.925  0.389  0.652

Values from the calculation:
**Magnetic moment**: 0.0 μB/f.u.
**Uncorrected formation energy**: -3064 meV per atom

---

No. 2
TlTcSb2 | GGA-PBE | relaxed

abc: 8.070 3.378 7.763
angles: 90.00 100.33 90.00
Sites, in units of the cell vectors:
Tl  0.000  0.000  0.000
Tl  0.500  0.500  0.000
Tc  0.000  0.500  0.500
Tc  0.500  0.000  0.500
Sb  0.233  0.000  0.678
Sb  0.267  0.500  0.322
Sb  0.733  0.500  0.678
Sb  0.767  0.000  0.322

Values from the calculation:
**Magnetic moment**: 0.6 μB/f.u.
**Uncorrected formation energy**: 197 meV per atom
**Energy relative to the lowest polymorph listed for this composition**: 181.6 meV/atom

---

No. 3
Li2PrHg5 | GGA-PBE | relaxed

abc: 4.243 7.146 12.368
angles: 90.00 90.00 90.00
Sites, in units of the cell vectors:
Li  0.000  0.000  0.220
Li  0.000  0.000  0.780
Li  0.500  0.500  0.280
Li  0.500  0.500  0.720
Pr  0.000  0.500  0.000
Pr  0.500  0.000  0.500
Hg  0.000  0.000  0.000
Hg  0.000  0.270  0.363
Hg  0.000  0.270  0.637
Hg  0.000  0.730  0.363
Hg  0.000  0.730  0.637
Hg  0.500  0.230  0.137
Hg  0.500  0.230  0.863
Hg  0.500  0.500  0.500
Hg  0.500  0.770  0.137
Hg  0.500  0.770  0.863

Values from the calculation:
**Magnetic moment**: 0.0 μB/f.u.
**Energy of formation from the pure elements**: -285 meV per atom

---

No. 4
Ga12Cu3Si5 | GGA-PBE | relaxed

abc: 12.580 12.580 12.580
angles: 109.47 109.47 109.47
Sites, in units of the cell vectors:
Ga  0.062  0.235  0.127
Ga  0.062  0.327  0.935
Ga  0.065  0.627  0.392
Ga  0.065  0.938  0.673
Ga  0.108  0.735  0.673
Ga  0.108  0.873  0.435
Ga  0.127  0.062  0.235
Ga  0.127  0.565  0.892
Ga  0.173  0.235  0.608
Ga  0.173  0.438  0.565
Ga  0.235  0.127  0.062
Ga  0.235  0.608  0.173
Ga  0.265  0.327  0.892
Ga  0.265  0.438  0.373
Ga  0.327  0.892  0.265
Ga  0.327  0.935  0.062
Ga  0.373  0.265  0.438
Ga  0.373  0.608  0.935
Ga  0.392  0.065  0.627
Ga  0.392  0.827  0.765
Ga  0.435  0.108  0.873
Ga  0.435  0.827  0.562
Ga  0.438  0.373  0.265
Ga  0.438  0.565  0.173
Ga  0.562  0.435  0.827
Ga  0.562  0.627  0.735
Ga  0.565  0.173  0.438
Ga  0.565  0.892  0.127
Ga  0.608  0.173  0.235
Ga  0.608  0.935  0.373
Ga  0.627  0.392  0.065
Ga  0.627  0.735  0.562
Ga  0.673  0.065  0.938
Ga  0.673  0.108  0.735
Ga  0.735  0.562  0.627
Ga  0.735  0.673  0.108
Ga  0.765  0.392  0.827
Ga  0.765  0.873  0.938
Ga  0.827  0.562  0.435
Ga  0.827  0.765  0.392
Ga  0.873  0.435  0.108
Ga  0.873  0.938  0.765
Ga  0.892  0.127  0.565
Ga  0.892  0.265  0.327
Ga  0.935  0.062  0.327
Ga  0.935  0.373  0.608
Ga  0.938  0.673  0.065
Ga  0.938  0.765  0.873
Cu  0.125  0.250  0.375
Cu  0.125  0.375  0.750
Cu  0.250  0.375  0.125
Cu  0.250  0.875  0.625
Cu  0.375  0.125  0.250
Cu  0.375  0.750  0.125
Cu  0.625  0.250  0.875
Cu  0.625  0.875  0.750
Cu  0.750  0.125  0.375
Cu  0.750  0.625  0.875
Cu  0.875  0.625  0.250
Cu  0.875  0.750  0.625
Si  0.000  0.000  0.000
Si  0.000  0.000  0.500
Si  0.000  0.500  0.000
Si  0.000  0.500  0.500
Si  0.125  0.750  0.875
Si  0.125  0.875  0.250
Si  0.250  0.125  0.875
Si  0.250  0.625  0.375
Si  0.375  0.250  0.625
Si  0.375  0.625  0.750
Si  0.500  0.000  0.000
Si  0.500  0.000  0.500
Si  0.500  0.500  0.000
Si  0.500  0.500  0.500
Si  0.625  0.375  0.250
Si  0.625  0.750  0.375
Si  0.750  0.375  0.625
Si  0.750  0.875  0.125
Si  0.875  0.125  0.750
Si  0.875  0.250  0.125

Values from the calculation:
**Magnetic moment**: 0.0 μB/f.u.
**Uncorrected formation energy**: 119 meV per atom

---

No. 5
GaGe3Se | GGA-PBE | relaxed

abc: 4.947 4.947 4.947
angles: 90.00 90.00 90.00
Sites, in units of the cell vectors:
Ga  0.000  0.000  0.000
Ge  0.000  0.000  0.500
Ge  0.000  0.500  0.000
Ge  0.500  0.000  0.000
Se  0.500  0.500  0.500

Values from the calculation:
**Magnetic moment**: 0.0 μB/f.u.
**Uncorrected formation energy**: 594 meV per atom
**Energy relative to the lowest polymorph listed for this composition**: 0.0 meV/atom

---

No. 6
PaZn11Fe | GGA-PBE | relaxed

abc: 6.842 6.842 6.691
angles: 98.14 98.14 135.98
Sites, in units of the cell vectors:
Pa  0.000  0.000  0.000
Zn  0.000  0.500  0.000
Zn  0.011  0.667  0.642
Zn  0.278  0.494  0.780
Zn  0.333  0.989  0.358
Zn  0.494  0.278  0.780
Zn  0.500  0.000  0.000
Zn  0.500  0.500  0.500
Zn  0.506  0.722  0.220
Zn  0.667  0.011  0.642
Zn  0.722  0.506  0.220
Zn  0.989  0.333  0.358
Fe  0.000  0.000  0.500

Values from the calculation:
**Magnetic moment**: 1.7 μB/f.u.
**Energy of formation from the pure elements**: -62 meV per atom

---

No. 7
LaErInGa | GGA-PBE | relaxed

abc: 7.523 7.523 7.523
angles: 90.00 90.00 90.00
Sites, in units of the cell vectors:
La  0.000  0.000  0.000
La  0.000  0.500  0.500
La  0.500  0.000  0.500
La  0.500  0.500  0.000
Er  0.000  0.000  0.500
Er  0.000  0.500  0.000
Er  0.500  0.000  0.000
Er  0.500  0.500  0.500
In  0.250  0.250  0.750
In  0.250  0.750  0.250
In  0.750  0.250  0.250
In  0.750  0.750  0.750
Ga  0.250  0.250  0.250
Ga  0.250  0.750  0.750
Ga  0.750  0.250  0.750
Ga  0.750  0.750  0.250

Values from the calculation:
**Magnetic moment**: 0.0 μB/f.u.
**Energy of formation from the pure elements**: -499 meV per atom
**Energy relative to the lowest polymorph listed for this composition**: 33.4 meV/atom

---

No. 8
Y2TaMo | GGA-PBE | relaxed

abc: 3.398 3.398 8.339
angles: 90.00 90.00 90.00
Sites, in units of the cell vectors:
Y  0.000  0.000  0.000
Y  0.500  0.500  0.359
Ta  0.500  0.500  0.746
Mo  0.000  0.000  0.591

Values from the calculation:
**Magnetic moment**: 0.0 μB/f.u.
**Energy of formation from the pure elements**: 136 meV per atom
**Energy relative to the lowest polymorph listed for this composition**: 0.0 meV/atom

---

No. 9
SrRu2Rh | GGA-PBE | relaxed

abc: 2.901 4.938 10.005
angles: 90.00 90.00 90.00
Sites, in units of the cell vectors:
Sr  0.000  0.000  0.000
Sr  0.500  0.500  0.500
Ru  0.000  0.000  0.505
Ru  0.000  0.500  0.216
Ru  0.500  0.000  0.716
Ru  0.500  0.500  0.005
Rh  0.000  0.500  0.779
Rh  0.500  0.000  0.279

Values from the calculation:
**Magnetic moment**: 0.0 μB/f.u.
**Energy of formation from the pure elements**: 565 meV per atom
**Energy relative to the lowest polymorph listed for this composition**: 189.8 meV/atom

---

No. 10
LaTa2P | GGA-PBE | relaxed

abc: 8.983 3.578 6.086
angles: 90.00 117.09 90.00
Sites, in units of the cell vectors:
La  0.000  0.000  0.000
La  0.500  0.500  0.000
Ta  0.073  0.500  0.560
Ta  0.309  0.500  0.312
Ta  0.573  0.000  0.560
Ta  0.809  0.000  0.312
P  0.285  0.000  0.580
P  0.785  0.500  0.580

Values from the calculation:
**Magnetic moment**: 0.0 μB/f.u.
**Energy of formation from the pure elements**: -148 meV per atom